This record from Alexandria via LeMat-Bulk describes an optimized crystal structure of Pr4Nd5Dy. The functional is PBE-GGA.

a b c (Å): 5.681 10.627 6.643
angles (deg): 90.28 115.32 90.00
Positions (direct):
Nd (0.198, 0.066, 0.395)
Nd (0.500, 0.500, 0.000)
Nd (0.802, 0.934, 0.605)
Nd (0.195, 0.436, 0.390)
Nd (0.805, 0.564, 0.610)
Pr (0.048, 0.753, 0.095)
Pr (0.952, 0.247, 0.905)
Pr (0.327, 0.750, 0.654)
Pr (0.673, 0.250, 0.346)
Dy (0.500, 0.000, 0.000)

Calculated values
As for the symmetry: No. 12. For the density, the calculation gives 6.629 Mg/m³. As for the polymorph energy (0 for the lowest one): 0.000 eV/atom. Its crystal system is monoclinic. For the energy of formation from the pure elements, the calculation gives 0.161 eV per atom.

This record from Alexandria via LeMat-Bulk describes an optimized crystal structure of PrNd3Dy5. The functional is PBE-GGA.

a b c (Å): 11.400 8.055 12.491
angles (deg): 49.83 43.13 64.90
Positions (direct):
Dy (0.668, 0.333, 0.666)
Dy (0.110, 0.554, 0.779)
Dy (0.110, 0.557, 0.278)
Dy (0.332, 0.667, 0.334)
Dy (0.890, 0.443, 0.722)
Dy (0.222, 0.113, 0.055)
Dy (0.669, 0.339, 0.163)
Dy (0.331, 0.661, 0.837)
Dy (0.778, 0.887, 0.945)
Dy (0.890, 0.446, 0.221)
Nd (0.000, 0.000, 0.500)
Nd (0.555, 0.778, 0.891)
Nd (0.555, 0.777, 0.389)
Nd (0.000, 0.000, 0.000)
Nd (0.445, 0.222, 0.109)
Nd (0.445, 0.223, 0.611)
Pr (0.778, 0.888, 0.445)
Pr (0.222, 0.112, 0.555)

Calculated values
As for the symmetry: No. 2. For the density, the calculation gives 7.712 Mg/m³. As for the polymorph energy (0 for the lowest one): 0.000 eV/atom. Its crystal system is triclinic. For the energy of formation from the pure elements, the calculation gives 0.017 eV per atom.

This record from Alexandria via LeMat-Bulk describes an optimized crystal structure of Pr6Nd2Dy. The functional is PBE-GGA.

a b c (Å): 3.691 10.261 10.261
angles (deg): 55.85 90.00 90.00
Positions (direct):
Pr (0.500, 0.316, 0.684)
Pr (0.000, 0.839, 0.489)
Pr (0.000, 0.489, 0.839)
Pr (0.500, 0.684, 0.316)
Pr (0.000, 0.161, 0.511)
Pr (0.000, 0.511, 0.161)
Nd (0.500, 0.824, 0.824)
Nd (0.500, 0.176, 0.176)
Dy (0.000, 0.000, 0.000)

Calculated values
As for the symmetry: No. 65. For the density, the calculation gives 6.694 Mg/m³. As for the polymorph energy (0 for the lowest one): 0.050 eV/atom. Its crystal system is orthorhombic. For the energy of formation from the pure elements, the calculation gives 0.127 eV per atom.

This record from Alexandria via LeMat-Bulk describes an optimized crystal structure of Pr4NdDy. The functional is PBE-GGA.

a b c (Å): 6.752 6.752 6.752
angles (deg): 60.00 60.00 60.00
Positions (direct):
Dy (0.000, 0.000, 0.000)
Nd (0.250, 0.250, 0.250)
Pr (0.626, 0.123, 0.626)
Pr (0.626, 0.626, 0.626)
Pr (0.123, 0.626, 0.626)
Pr (0.626, 0.626, 0.123)

Calculated values
As for the symmetry: No. 216. For the density, the calculation gives 6.640 Mg/m³. As for the polymorph energy (0 for the lowest one): 0.240 eV/atom. Its crystal system is cubic. For the energy of formation from the pure elements, the calculation gives 0.256 eV per atom.

This record from Alexandria via LeMat-Bulk describes an optimized crystal structure of Pr5Nd2Dy. The functional is PBE-GGA.

a b c (Å): 5.213 7.358 14.752
angles (deg): 90.00 90.00 90.00
Positions (direct):
Pr (0.000, 0.000, 0.000)
Pr (0.000, 0.500, 0.248)
Pr (0.000, 0.500, 0.752)
Pr (0.000, 0.500, 0.500)
Pr (0.000, 0.000, 0.252)
Pr (0.500, 0.251, 0.876)
Pr (0.500, 0.751, 0.624)
Pr (0.500, 0.749, 0.124)
Pr (0.000, 0.000, 0.748)
Pr (0.500, 0.249, 0.376)
Nd (0.500, 0.249, 0.624)
Nd (0.500, 0.251, 0.124)
Nd (0.500, 0.751, 0.376)
Nd (0.500, 0.749, 0.876)
Dy (0.000, 0.500, 0.000)
Dy (0.000, 0.000, 0.500)

Calculated values
As for the symmetry: No. 55. For the density, the calculation gives 6.782 Mg/m³. As for the polymorph energy (0 for the lowest one): 0.000 eV/atom. Its crystal system is orthorhombic. For the energy of formation from the pure elements, the calculation gives 0.013 eV per atom.

This record from Alexandria via LeMat-Bulk describes an optimized crystal structure of Pr2Nd5Dy. The functional is PBE-GGA.

a b c (Å): 5.186 7.339 14.703
angles (deg): 90.00 90.00 90.00
Positions (direct):
Nd (0.000, 0.500, 0.500)
Nd (0.000, 0.000, 0.000)
Nd (0.500, 0.750, 0.124)
Nd (0.000, 0.500, 0.751)
Nd (0.000, 0.000, 0.251)
Nd (0.000, 0.500, 0.249)
Nd (0.500, 0.250, 0.376)
Nd (0.500, 0.250, 0.876)
Nd (0.500, 0.750, 0.624)
Nd (0.000, 0.000, 0.749)
Dy (0.000, 0.000, 0.500)
Dy (0.000, 0.500, 0.000)
Pr (0.500, 0.751, 0.376)
Pr (0.500, 0.249, 0.624)
Pr (0.500, 0.749, 0.876)
Pr (0.500, 0.251, 0.124)

Calculated values
As for the symmetry: No. 55. For the density, the calculation gives 6.917 Mg/m³. Its crystal system is orthorhombic. For the energy of formation from the pure elements, the calculation gives 0.013 eV per atom.